# 1
Crystalline NdEuZnSn at its relaxed geometry, computed with GGA-PBE.

## Properties
energy of formation	-0.50	eV per atom
raw total energy	-0.4098	Ry/atom

Cell lengths 5.4020, 5.4020, 5.4020 Å; angles 60.00, 60.00, 60.00 degrees
Site moments in Bohr magnetons follow the coordinates.
Atoms (fractional coordinates):
Nd (0.5000, 0.5000, 0.5000)  0.17
Eu (0.0000, 0.0000, 0.0000)  6.88
Zn (0.7500, 0.7500, 0.7500)  0.04
Sn (0.2500, 0.2500, 0.2500)  -0.04

***

# 2
Crystalline Ag4As at its relaxed geometry, computed with GGA-PBE.

## Properties
energy of formation	0.12	eV per atom
offset from the most stable computed form	27.8	meV per atom
raw total energy	-0.2274	Ry/atom

Cell lengths 5.7360, 5.7360, 7.3837 Å; angles 99.27, 99.27, 125.81 degrees
Atoms (fractional coordinates):
Ag (0.7023, 0.1223, 0.9016)
Ag (0.2207, 0.8007, 0.0984)
Ag (0.1269, 0.5303, 0.7015)
Ag (0.6754, 0.5788, 0.7985)
Ag (0.8288, 0.4254, 0.2985)
Ag (0.7803, 0.8769, 0.2015)
Ag (0.0507, 0.9707, 0.5984)
Ag (0.3723, 0.4523, 0.4016)
As (0.2733, 0.2733, 0.0000)
As (0.5233, 0.0233, 0.5000)

***

# 3
Crystalline SiMoAs at its relaxed geometry, computed with GGA-PBE.

## Properties
offset from the most stable computed form	930.7	meV per atom
ΔE_f (raw)	63.4	kJ per mole of atoms
raw total energy	-0.4638	Ry/atom

Cell lengths 4.2196, 4.2196, 4.2196 Å; angles 60.00, 60.00, 60.00 degrees
Atoms (fractional coordinates):
Si (0.5000, 0.5000, 0.5000)
As (0.7500, 0.7500, 0.7500)
Mo (0.0000, 0.0000, 0.0000)

***

# 4
Crystalline CsSn3Sb at its relaxed geometry, computed with GGA-PBE.

## Properties
offset from the most stable computed form	468.5	meV per atom
ΔE_f (raw)	29.3	kJ per mole of atoms
raw total energy	-0.2274	Ry/atom

Cell lengths 5.9301, 5.9301, 5.9301 Å; angles 90.00, 90.00, 90.00 degrees
Atoms (fractional coordinates):
Sn (0.0000, 0.0000, 0.5000)
Sn (0.0000, 0.5000, 0.0000)
Sn (0.5000, 0.0000, 0.0000)
Cs (0.5000, 0.5000, 0.5000)
Sb (0.0000, 0.0000, 0.0000)

***

| no. | magnetization (μB/cell) | calculated volume (Å³/f.u.) |
| --- | --- | --- |
| 1 | 7.62 | 111.5 |
| 2 | 0.00 | 92.1 |
| 3 | 0.00 | 53.1 |
| 4 | 0.00 | 208.5 |